Density functional theory data (PBE) for FeSbSe2 after structural relaxation.

Output
- raw total energy (eV/atom) = -4.801
- SG = I-42d (122)

Cell: 7.013 7.013 7.013 Å, 126.20 126.20 79.56°
Fractional coordinates of all 8 atoms:
Fe1 0.000 0.000 0.000
Fe2 0.750 0.250 0.500
Sb1 0.250 0.750 0.500
Sb2 0.500 0.500 0.000
Se1 0.062 0.625 0.937
Se2 0.375 0.312 0.437
Se3 0.688 0.125 0.063
Se4 0.875 0.938 0.563

---

Density functional theory data (PBE) for InSe2SN after structural relaxation.

Output
- excess energy over the best structure of this formula in the dataset (eV/atom) = 0.0000
- SG = P4/mmm (123)

Cell: 5.397 5.397 3.393 Å, 90.00 90.00 90.00°
Fractional coordinates of all 5 atoms:
In1 0.000 0.000 0.000
Se1 0.000 0.500 0.500
Se2 0.500 0.000 0.500
S1 0.500 0.500 0.500
N1 0.500 0.500 0.000

---

Density functional theory data (PBE) for KSn2Pt after structural relaxation.

Output
- raw total energy (eV/atom) = -3.817
- SG = Fm-3m (225)

Cell: 5.055 5.055 5.055 Å, 60.00 60.00 60.00°
Fractional coordinates of all 4 atoms:
K1 0.000 0.000 0.000
Sn1 0.250 0.250 0.250
Sn2 0.750 0.750 0.750
Pt1 0.500 0.500 0.500

---

Density functional theory data (PBE) for Ag5Sn after structural relaxation.

Output
- raw total energy (eV/atom) = -3.032
- SG = C2/m (12)

Cell: 5.226 5.226 5.064 Å, 96.98 96.98 122.09°
Fractional coordinates of all 6 atoms:
Ag1 0.000 0.000 0.000
Ag2 0.167 0.833 0.500
Ag3 0.331 0.669 0.000
Ag4 0.669 0.331 0.000
Ag5 0.833 0.167 0.500
Sn1 0.500 0.500 0.500

---

Density functional theory data (PBE) for CsTaS2 after structural relaxation.

Output
- raw total energy (eV/atom) = -4.922
- SG = Fm-3m (225)

Cell: 4.988 4.988 4.988 Å, 60.00 60.00 60.00°
Fractional coordinates of all 4 atoms:
Cs1 0.000 0.000 0.000
Ta1 0.500 0.500 0.500
S1 0.250 0.250 0.250
S2 0.750 0.750 0.750

---

Density functional theory data (PBE) for NiAg5Cl8 after structural relaxation.

Output
- excess energy over the best structure of this formula in the dataset (eV/atom) = 0.0000
- SG = I-4 (82)

Cell: 7.808 7.808 7.808 Å, 104.72 104.72 119.45°
Fractional coordinates of all 14 atoms:
Ni1 0.000 0.000 0.000
Ag1 0.120 0.600 0.993
Ag2 0.400 0.393 0.520
Ag3 0.607 0.127 0.007
Ag4 0.750 0.250 0.500
Ag5 0.873 0.880 0.480
Cl1 0.084 0.330 0.171
Cl2 0.087 0.916 0.246
Cl3 0.123 0.310 0.664
Cl4 0.159 0.913 0.829
Cl5 0.541 0.877 0.187
Cl6 0.646 0.459 0.336
Cl7 0.670 0.841 0.754
Cl8 0.690 0.354 0.813

---

Density functional theory data (PBE) for Er5ScIr6 after structural relaxation.

Output
- raw total energy (eV/atom) = -7.752
- SG = Cmmm (65)

Cell: 7.355 7.355 7.071 Å, 90.00 90.00 143.20°
Fractional coordinates of all 12 atoms:
Er1 0.000 0.000 0.000
Er2 0.334 0.666 0.000
Er3 0.335 0.665 0.500
Er4 0.665 0.335 0.500
Er5 0.666 0.334 0.000
Sc1 0.000 0.000 0.500
Ir1 0.164 0.836 0.254
Ir2 0.164 0.836 0.746
Ir3 0.500 0.500 0.258
Ir4 0.500 0.500 0.742
Ir5 0.836 0.164 0.254
Ir6 0.836 0.164 0.746

---

Density functional theory data (PBE) for Sc4BiAs2 after structural relaxation.

Output
- raw total energy (eV/atom) = -6.502
- SG = Cmcm (63)

Cell: 6.644 6.644 12.928 Å, 90.00 90.00 145.13°
Fractional coordinates of all 14 atoms:
Sc1 0.000 0.000 0.000
Sc2 0.000 0.000 0.500
Sc3 0.261 0.739 0.620
Sc4 0.261 0.739 0.880
Sc5 0.431 0.569 0.250
Sc6 0.569 0.431 0.750
Sc7 0.739 0.261 0.120
Sc8 0.739 0.261 0.380
Bi1 0.107 0.893 0.250
Bi2 0.893 0.107 0.750
As1 0.367 0.633 0.056
As2 0.367 0.633 0.444
As3 0.633 0.367 0.556
As4 0.633 0.367 0.944